(1)
HfTiFe | PBE | relaxed

Summary:
symmetry	No. 160
N(E_F)	0.702	states/eV/atom
VASP energy	-8.753	eV/atom
total magnetization	0.00	μB/atom
energy of formation from the pure elements	18	meV per atom
calculated volume	53.8	Å³ per cell

a = 3.9790 Å, b = 3.9790 Å, c = 4.5690 Å
α = 90.02°, β = 125.11°, γ = 109.83°
Last column: nearest neighbours and their distance in Å.
Sites, in units of the cell vectors:
Fe (0.4608, 0.2139, 0.6748)  1 Ti 2.13, 1 Hf 2.35
Hf (0.9343, 0.4773, 0.4117)  1 Fe 2.35
Ti (0.9381, 0.9754, 0.9135)  1 Fe 2.13

***

(2)
HfTi5Fe2 | PBE | relaxed

Summary:
symmetry	No. 71
N(E_F)	1.252	states/eV/atom
VASP energy	-8.296	eV/atom
total magnetization	0.00	μB/atom
energy of formation from the pure elements	-2	meV per atom
calculated volume	130.7	Å³ per cell

a = 4.3716 Å, b = 5.9213 Å, c = 5.9213 Å
α = 74.05°, β = 68.34°, γ = 68.34°
Last column: nearest neighbours and their distance in Å.
Sites, in units of the cell vectors:
Ti (0.0000, 0.5000, 0.5000)  2 Fe 2.54
Ti (0.6604, 0.5336, 0.1457)  1 Fe 2.20
Ti (0.6604, 0.1457, 0.5336)  1 Fe 2.20
Ti (0.3396, 0.4664, 0.8543)  1 Fe 2.20
Ti (0.3396, 0.8543, 0.4664)  1 Fe 2.20
Hf (0.0000, 0.0000, 0.0000)  4 Fe 2.74
Fe (0.6971, 0.8029, 0.8029)  2 Ti 2.20
Fe (0.3029, 0.1971, 0.1971)  2 Ti 2.20

***

(3)
Hf2TiFe | PBE | relaxed

Summary:
symmetry	No. 123
N(E_F)	1.106	states/eV/atom
VASP energy	-9.165	eV/atom
total magnetization	0.08	μB/atom
energy of formation from the pure elements	-99	meV per atom
calculated volume	70.5	Å³ per cell

a = 3.1596 Å, b = 3.1596 Å, c = 7.0643 Å
α = 90.00°, β = 90.00°, γ = 90.00°
Last column: nearest neighbours and their distance in Å.
Sites, in units of the cell vectors:
Hf (0.0000, 0.0000, 0.2195)  4 Fe 2.72, 4 Ti 2.99
Hf (0.0000, 0.0000, 0.7805)  4 Fe 2.72, 4 Ti 2.99
Fe (0.5000, 0.5000, 0.0000)  8 Hf 2.72
Ti (0.5000, 0.5000, 0.5000)  8 Hf 2.99, 4 Ti 3.16

***

(4)
Hf2TiFe3 | PBE | relaxed

Summary:
symmetry	No. 123
N(E_F)	0.363	states/eV/atom
VASP energy	-9.193	eV/atom
total magnetization	0.00	μB/atom
energy of formation from the pure elements	-328	meV per atom
calculated volume	87.4	Å³ per cell

a = 3.0745 Å, b = 3.0745 Å, c = 9.2494 Å
α = 90.00°, β = 90.00°, γ = 90.00°
Last column: nearest neighbours and their distance in Å.
Sites, in units of the cell vectors:
Fe (0.0000, 0.0000, 0.3446)  4 Ti 2.61, 4 Hf 2.70, 1 Fe 2.88
Fe (0.0000, 0.0000, 0.6554)  4 Ti 2.61, 4 Hf 2.70, 1 Fe 2.88
Fe (0.0000, 0.0000, 0.0000)  8 Hf 2.69
Hf (0.5000, 0.5000, 0.8285)  8 Fe 2.69-2.70
Hf (0.5000, 0.5000, 0.1715)  8 Fe 2.69-2.70
Ti (0.5000, 0.5000, 0.5000)  8 Fe 2.61

***

(5)
Hf2Ti3Fe2 | PBE | relaxed

Summary:
symmetry	No. 12
N(E_F)	1.335	states/eV/atom
VASP energy	-8.825	eV/atom
total magnetization	0.00	μB/atom
energy of formation from the pure elements	-180	meV per atom
calculated volume	116.3	Å³ per cell

a = 3.1409 Å, b = 5.4934 Å, c = 7.7112 Å
α = 113.10°, β = 90.00°, γ = 106.61°
Last column: nearest neighbours and their distance in Å.
Sites, in units of the cell vectors:
Ti (0.6210, 0.2419, 0.4370)  3 Fe 2.41-2.63
Ti (0.5000, 0.0000, 0.0000)  4 Fe 2.47
Ti (0.3790, 0.7581, 0.5630)  3 Fe 2.41-2.63
Hf (0.8502, 0.7004, 0.1948)  2 Fe 2.61
Hf (0.1498, 0.2996, 0.8052)  2 Fe 2.61
Fe (0.8353, 0.6706, 0.7698)  5 Ti 2.41-2.63, 2 Hf 2.61
Fe (0.1647, 0.3294, 0.2302)  5 Ti 2.41-2.63, 2 Hf 2.61

***

(6)
HfTi2Fe2 | PBE | relaxed

Summary:
symmetry	No. 127
N(E_F)	0.945	states/eV/atom
VASP energy	-8.536	eV/atom
total magnetization	0.11	μB/atom
energy of formation from the pure elements	-2	meV per atom
calculated volume	148.9	Å³ per cell

a = 7.3302 Å, b = 7.3302 Å, c = 2.7711 Å
α = 90.00°, β = 90.00°, γ = 90.00°
Last column: nearest neighbours and their distance in Å.
Sites, in units of the cell vectors:
Fe (0.1628, 0.6628, 0.5000)  6 Ti 2.49-2.61, 2 Fe 2.77
Fe (0.6628, 0.8372, 0.5000)  6 Ti 2.49-2.61, 2 Fe 2.77
Fe (0.3372, 0.1628, 0.5000)  6 Ti 2.49-2.61, 2 Fe 2.77
Fe (0.8372, 0.3372, 0.5000)  6 Ti 2.49-2.61, 2 Fe 2.77
Ti (0.8620, 0.6380, 0.0000)  6 Fe 2.49-2.61, 2 Ti 2.77
Ti (0.1380, 0.3620, 0.0000)  6 Fe 2.49-2.61, 2 Ti 2.77
Ti (0.6380, 0.1380, 0.0000)  6 Fe 2.49-2.61, 2 Ti 2.77
Ti (0.3620, 0.8620, 0.0000)  6 Fe 2.49-2.61, 2 Ti 2.77
Hf (0.5000, 0.5000, 0.0000)  2 Hf 2.77, 4 Ti 2.84, 8 Fe 3.07
Hf (0.0000, 0.0000, 0.0000)  2 Hf 2.77, 4 Ti 2.84, 8 Fe 3.07

***

(7)
Hf2TiFe | PBE | relaxed

Summary:
symmetry	No. 123
N(E_F)	1.316	states/eV/atom
VASP energy	-9.066	eV/atom
total magnetization	0.21	μB/atom
energy of formation from the pure elements	0	meV per atom
calculated volume	69.4	Å³ per cell

a = 3.2144 Å, b = 4.6457 Å, c = 4.6457 Å
α = 90.00°, β = 90.00°, γ = 90.00°
Last column: nearest neighbours and their distance in Å.
Sites, in units of the cell vectors:
Hf (0.0000, 0.0000, 0.5000)  4 Fe 2.82, 4 Ti 2.82
Hf (0.0000, 0.5000, 0.0000)  4 Fe 2.82, 4 Ti 2.82
Fe (0.5000, 0.5000, 0.5000)  8 Hf 2.82
Ti (0.5000, 0.0000, 0.0000)  8 Hf 2.82

***

(8)
Hf2Ti2Fe | PBE | relaxed

Summary:
symmetry	No. 141
N(E_F)	1.258	states/eV/atom
VASP energy	-8.800	eV/atom
total magnetization	0.00	μB/atom
energy of formation from the pure elements	32	meV per atom
calculated volume	185.6	Å³ per cell

a = 4.2957 Å, b = 4.2957 Å, c = 10.5041 Å
α = 101.80°, β = 101.80°, γ = 90.00°
Last column: nearest neighbours and their distance in Å.
Sites, in units of the cell vectors:
Hf (0.6771, 0.6771, 0.3542)  2 Fe 2.60
Hf (0.3229, 0.3229, 0.6458)  2 Fe 2.60
Hf (0.4271, 0.9271, 0.8542)  2 Fe 2.60
Hf (0.0729, 0.5729, 0.1458)  2 Fe 2.60
Ti (0.8239, 0.8239, 0.6479)  2 Fe 2.61
Ti (0.9261, 0.4261, 0.8521)  2 Fe 2.61
Ti (0.5739, 0.0739, 0.1479)  2 Fe 2.61
Ti (0.1761, 0.1761, 0.3521)  2 Fe 2.61
Fe (0.5000, 0.5000, 0.0000)  4 Hf 2.60, 4 Ti 2.61
Fe (0.2500, 0.7500, 0.5000)  4 Hf 2.60, 4 Ti 2.61

***

Which formula does entry 6 have?
HfTi2Fe2